## a
DFT (PBE-GGA) results for a relaxed structure of YGe2Pd6.

Geometry as CIF:
```
data_YGe2Pd6
_symmetry_space_group_name_H-M 'P 1'
_symmetry_Int_Tables_number 1
_cell_length_a 6.7343
_cell_length_b 6.7343
_cell_length_c 4.2911
_cell_angle_alpha 108.48
_cell_angle_beta 108.48
_cell_angle_gamma 64.65
loop_
_symmetry_equiv_pos_as_xyz
'x,y,z'
loop_
_atom_site_label
_atom_site_type_symbol
_atom_site_fract_x
_atom_site_fract_y
_atom_site_fract_z
_atom_site_occupancy
Y1 Y 0.0000 0.0000 0.0000 1
Ge1 Ge 0.3051 0.3051 0.3052 1
Ge2 Ge 0.6949 0.6949 0.6948 1
Pd1 Pd 0.1257 0.5198 0.8229 1
Pd2 Pd 0.2935 0.7065 0.5000 1
Pd3 Pd 0.4802 0.8743 0.1771 1
Pd4 Pd 0.5198 0.1257 0.8229 1
Pd5 Pd 0.7065 0.2935 0.5000 1
Pd6 Pd 0.8743 0.4802 0.1771 1
```

Summary:
magnetic moment = 0.000 μB/f.u.
space-group type = C2/m

## b
DFT (PBE-GGA) results for a relaxed structure of YGe2Pd6.

Geometry as CIF:
```
data_YGe2Pd6
_symmetry_space_group_name_H-M 'P 1'
_symmetry_Int_Tables_number 1
_cell_length_a 5.5417
_cell_length_b 5.5417
_cell_length_c 6.5755
_cell_angle_alpha 90.00
_cell_angle_beta 90.00
_cell_angle_gamma 120.00
loop_
_symmetry_equiv_pos_as_xyz
'x,y,z'
loop_
_atom_site_label
_atom_site_type_symbol
_atom_site_fract_x
_atom_site_fract_y
_atom_site_fract_z
_atom_site_occupancy
Y1 Y 0.0000 0.0000 0.0000 1
Ge1 Ge 0.3333 0.6667 0.5000 1
Ge2 Ge 0.6667 0.3333 0.5000 1
Pd1 Pd 0.0000 0.5000 0.2081 1
Pd2 Pd 0.0000 0.5000 0.7919 1
Pd3 Pd 0.5000 0.0000 0.2081 1
Pd4 Pd 0.5000 0.0000 0.7919 1
Pd5 Pd 0.5000 0.5000 0.2081 1
Pd6 Pd 0.5000 0.5000 0.7919 1
```

Summary:
magnetic moment = 0.000 μB/f.u.
space-group type = P6/mmm

Top of the stability list: a, leading by 0.036 eV/atom.

## a
DFT (PBE-GGA) results for a relaxed structure of YGePd6.

Geometry as CIF:
```
data_YGePd6
_symmetry_space_group_name_H-M 'P 1'
_symmetry_Int_Tables_number 1
_cell_length_a 4.0915
_cell_length_b 4.0915
_cell_length_c 7.8503
_cell_angle_alpha 90.00
_cell_angle_beta 90.00
_cell_angle_gamma 90.00
loop_
_symmetry_equiv_pos_as_xyz
'x,y,z'
loop_
_atom_site_label
_atom_site_type_symbol
_atom_site_fract_x
_atom_site_fract_y
_atom_site_fract_z
_atom_site_occupancy
Y1 Y 0.0000 0.0000 0.0000 1
Ge1 Ge 0.0000 0.0000 0.5000 1
Pd1 Pd 0.0000 0.5000 0.2684 1
Pd2 Pd 0.0000 0.5000 0.7316 1
Pd3 Pd 0.5000 0.0000 0.2684 1
Pd4 Pd 0.5000 0.0000 0.7316 1
Pd5 Pd 0.5000 0.5000 0.0000 1
Pd6 Pd 0.5000 0.5000 0.5000 1
```

Summary:
magnetic moment = 0.000 μB/f.u.
space-group type = P4/mmm

## b
DFT (PBE-GGA) results for a relaxed structure of YGePd6.

Geometry as CIF:
```
data_YGePd6
_symmetry_space_group_name_H-M 'P 1'
_symmetry_Int_Tables_number 1
_cell_length_a 6.9919
_cell_length_b 6.9919
_cell_length_c 6.9919
_cell_angle_alpha 46.42
_cell_angle_beta 46.42
_cell_angle_gamma 46.42
loop_
_symmetry_equiv_pos_as_xyz
'x,y,z'
loop_
_atom_site_label
_atom_site_type_symbol
_atom_site_fract_x
_atom_site_fract_y
_atom_site_fract_z
_atom_site_occupancy
Y1 Y 0.0000 0.0000 0.0000 1
Ge1 Ge 0.5000 0.5000 0.5000 1
Pd1 Pd 0.0626 0.5766 0.5766 1
Pd2 Pd 0.4234 0.4234 0.9374 1
Pd3 Pd 0.4234 0.9374 0.4234 1
Pd4 Pd 0.5766 0.0626 0.5766 1
Pd5 Pd 0.5766 0.5766 0.0626 1
Pd6 Pd 0.9374 0.4234 0.4234 1
```

Summary:
magnetic moment = 0.000 μB/f.u.
space-group type = R-3m

Top of the stability list: a, leading by 0.298 eV/atom.

## a
DFT (PBE-GGA) results for a relaxed structure of Y2Ge3Pd.

Geometry as CIF:
```
data_Y2Ge3Pd
_symmetry_space_group_name_H-M 'P 1'
_symmetry_Int_Tables_number 1
_cell_length_a 5.7510
_cell_length_b 5.7510
_cell_length_c 6.9644
_cell_angle_alpha 126.99
_cell_angle_beta 126.99
_cell_angle_gamma 44.05
loop_
_symmetry_equiv_pos_as_xyz
'x,y,z'
loop_
_atom_site_label
_atom_site_type_symbol
_atom_site_fract_x
_atom_site_fract_y
_atom_site_fract_z
_atom_site_occupancy
Y1 Y 0.0000 0.0000 0.0000 1
Y2 Y 0.1182 0.1182 0.6265 1
Ge1 Ge 0.3877 0.3877 0.5842 1
Ge2 Ge 0.4278 0.4278 0.2124 1
Ge3 Ge 0.7190 0.7190 0.0228 1
Pd1 Pd 0.7312 0.7312 0.4134 1
```

Summary:
magnetic moment = 0.000 μB/f.u.
space-group type = Cm

## b
DFT (PBE-GGA) results for a relaxed structure of Y2Ge3Pd.

Geometry as CIF:
```
data_Y2Ge3Pd
_symmetry_space_group_name_H-M 'P 1'
_symmetry_Int_Tables_number 1
_cell_length_a 8.4770
_cell_length_b 8.3968
_cell_length_c 5.8508
_cell_angle_alpha 70.45
_cell_angle_beta 68.98
_cell_angle_gamma 40.57
loop_
_symmetry_equiv_pos_as_xyz
'x,y,z'
loop_
_atom_site_label
_atom_site_type_symbol
_atom_site_fract_x
_atom_site_fract_y
_atom_site_fract_z
_atom_site_occupancy
Y1 Y 0.2456 0.7544 0.7544 1
Y2 Y 0.2500 0.2500 0.2500 1
Y3 Y 0.7500 0.7500 0.7500 1
Y4 Y 0.7544 0.2456 0.2456 1
Ge1 Ge 0.1680 0.1680 0.8320 1
Ge2 Ge 0.1692 0.6635 0.3365 1
Ge3 Ge 0.3365 0.8308 0.1692 1
Ge4 Ge 0.6635 0.1692 0.8308 1
Ge5 Ge 0.8308 0.3365 0.6635 1
Ge6 Ge 0.8320 0.8320 0.1680 1
Pd1 Pd 0.3330 0.3330 0.6670 1
Pd2 Pd 0.6670 0.6670 0.3330 1
```

Summary:
magnetic moment = 0.000 μB/f.u.
space-group type = Fmmm

Top of the stability list: b, leading by 0.048 eV/atom.

## a
DFT (PBE-GGA) results for a relaxed structure of Zn2GePd4.

Geometry as CIF:
```
data_Zn2GePd4
_symmetry_space_group_name_H-M 'P 1'
_symmetry_Int_Tables_number 1
_cell_length_a 6.5420
_cell_length_b 5.5603
_cell_length_c 6.6319
_cell_angle_alpha 90.00
_cell_angle_beta 114.58
_cell_angle_gamma 90.00
loop_
_symmetry_equiv_pos_as_xyz
'x,y,z'
loop_
_atom_site_label
_atom_site_type_symbol
_atom_site_fract_x
_atom_site_fract_y
_atom_site_fract_z
_atom_site_occupancy
Zn1 Zn 0.0545 0.2500 0.2836 1
Zn2 Zn 0.3448 0.7500 0.7541 1
Zn3 Zn 0.6552 0.2500 0.2459 1
Zn4 Zn 0.9455 0.7500 0.7164 1
Ge1 Ge 0.3652 0.2500 0.8158 1
Ge2 Ge 0.6348 0.7500 0.1842 1
Pd1 Pd 0.0461 0.7500 0.3484 1
Pd2 Pd 0.2533 0.5035 0.0730 1
Pd3 Pd 0.2533 0.9965 0.0730 1
Pd4 Pd 0.4745 0.2500 0.5123 1
Pd5 Pd 0.5255 0.7500 0.4877 1
Pd6 Pd 0.7467 0.0035 0.9270 1
Pd7 Pd 0.7467 0.4965 0.9270 1
Pd8 Pd 0.9539 0.2500 0.6516 1
```

Summary:
magnetic moment = 0.000 μB/f.u.
space-group type = P2_1/m

## b
DFT (PBE-GGA) results for a relaxed structure of Zn2GePd4.

Geometry as CIF:
```
data_Zn2GePd4
_symmetry_space_group_name_H-M 'P 1'
_symmetry_Int_Tables_number 1
_cell_length_a 5.2314
_cell_length_b 5.2314
_cell_length_c 5.2314
_cell_angle_alpha 108.53
_cell_angle_beta 108.53
_cell_angle_gamma 111.37
loop_
_symmetry_equiv_pos_as_xyz
'x,y,z'
loop_
_atom_site_label
_atom_site_type_symbol
_atom_site_fract_x
_atom_site_fract_y
_atom_site_fract_z
_atom_site_occupancy
Zn1 Zn 0.0000 0.5000 0.5000 1
Zn2 Zn 0.5000 0.0000 0.5000 1
Ge1 Ge 0.0000 0.0000 0.0000 1
Pd1 Pd 0.0000 0.0000 0.5000 1
Pd2 Pd 0.0000 0.5000 0.0000 1
Pd3 Pd 0.5000 0.0000 0.0000 1
Pd4 Pd 0.5000 0.5000 0.5000 1
```

Summary:
magnetic moment = 0.000 μB/f.u.
space-group type = I4/mmm

Top of the stability list: b, leading by 0.093 eV/atom.

## a
DFT (PBE-GGA) results for a relaxed structure of Zn2GePd8.

Geometry as CIF:
```
data_Zn2GePd8
_symmetry_space_group_name_H-M 'P 1'
_symmetry_Int_Tables_number 1
_cell_length_a 7.2508
_cell_length_b 7.2508
_cell_length_c 5.9091
_cell_angle_alpha 103.24
_cell_angle_beta 103.24
_cell_angle_gamma 33.41
loop_
_symmetry_equiv_pos_as_xyz
'x,y,z'
loop_
_atom_site_label
_atom_site_type_symbol
_atom_site_fract_x
_atom_site_fract_y
_atom_site_fract_z
_atom_site_occupancy
Zn1 Zn 0.2152 0.2152 0.1604 1
Zn2 Zn 0.7848 0.7848 0.8396 1
Ge1 Ge 0.5000 0.5000 0.5000 1
Pd1 Pd 0.0362 0.0362 0.2511 1
Pd2 Pd 0.1591 0.1591 0.7190 1
Pd3 Pd 0.3289 0.3289 0.5743 1
Pd4 Pd 0.4037 0.4037 0.0481 1
Pd5 Pd 0.5963 0.5963 0.9519 1
Pd6 Pd 0.6711 0.6711 0.4257 1
Pd7 Pd 0.8409 0.8409 0.2810 1
Pd8 Pd 0.9638 0.9638 0.7489 1
```

Summary:
magnetic moment = 0.000 μB/f.u.
space-group type = C2/m

## b
DFT (PBE-GGA) results for a relaxed structure of Zn2GePd8.

Geometry as CIF:
```
data_Zn2GePd8
_symmetry_space_group_name_H-M 'P 1'
_symmetry_Int_Tables_number 1
_cell_length_a 7.0084
_cell_length_b 7.0084
_cell_length_c 7.0084
_cell_angle_alpha 144.94
_cell_angle_beta 119.56
_cell_angle_gamma 71.82
loop_
_symmetry_equiv_pos_as_xyz
'x,y,z'
loop_
_atom_site_label
_atom_site_type_symbol
_atom_site_fract_x
_atom_site_fract_y
_atom_site_fract_z
_atom_site_occupancy
Zn1 Zn 0.1978 0.1978 0.0000 1
Zn2 Zn 0.8022 0.8022 0.0000 1
Ge1 Ge 0.5000 0.5000 0.0000 1
Pd1 Pd 0.0678 0.3463 0.7215 1
Pd2 Pd 0.1861 0.0000 0.1861 1
Pd3 Pd 0.3601 0.8601 0.5000 1
Pd4 Pd 0.3752 0.6537 0.7215 1
Pd5 Pd 0.6248 0.3463 0.2785 1
Pd6 Pd 0.6399 0.1399 0.5000 1
Pd7 Pd 0.8139 0.0000 0.8139 1
Pd8 Pd 0.9322 0.6537 0.2785 1
```

Summary:
magnetic moment = 0.000 μB/f.u.
space-group type = Immm

Top of the stability list: a, leading by 0.041 eV/atom.

## a
DFT (PBE-GGA) results for a relaxed structure of Zn3GePd.

Geometry as CIF:
```
data_Zn3GePd
_symmetry_space_group_name_H-M 'P 1'
_symmetry_Int_Tables_number 1
_cell_length_a 4.6992
_cell_length_b 4.6992
_cell_length_c 4.6992
_cell_angle_alpha 90.00
_cell_angle_beta 90.00
_cell_angle_gamma 90.00
loop_
_symmetry_equiv_pos_as_xyz
'x,y,z'
loop_
_atom_site_label
_atom_site_type_symbol
_atom_site_fract_x
_atom_site_fract_y
_atom_site_fract_z
_atom_site_occupancy
Zn1 Zn 0.0000 0.0000 0.5000 1
Zn2 Zn 0.0000 0.5000 0.0000 1
Zn3 Zn 0.5000 0.0000 0.0000 1
Ge1 Ge 0.0000 0.0000 0.0000 1
Pd1 Pd 0.5000 0.5000 0.5000 1
```

Summary:
magnetic moment = 0.000 μB/f.u.
space-group type = Pm-3m

## b
DFT (PBE-GGA) results for a relaxed structure of Zn3GePd.

Geometry as CIF:
```
data_Zn3GePd
_symmetry_space_group_name_H-M 'P 1'
_symmetry_Int_Tables_number 1
_cell_length_a 4.7622
_cell_length_b 4.7622
_cell_length_c 4.7622
_cell_angle_alpha 90.00
_cell_angle_beta 90.00
_cell_angle_gamma 90.00
loop_
_symmetry_equiv_pos_as_xyz
'x,y,z'
loop_
_atom_site_label
_atom_site_type_symbol
_atom_site_fract_x
_atom_site_fract_y
_atom_site_fract_z
_atom_site_occupancy
Zn1 Zn 0.0000 0.0000 0.5000 1
Zn2 Zn 0.0000 0.5000 0.0000 1
Zn3 Zn 0.5000 0.0000 0.0000 1
Ge1 Ge 0.5000 0.5000 0.5000 1
Pd1 Pd 0.0000 0.0000 0.0000 1
```

Summary:
magnetic moment = 0.000 μB/f.u.
space-group type = Pm-3m

Top of the stability list: b, leading by 0.270 eV/atom.

## a
DFT (PBE-GGA) results for a relaxed structure of Zn2Ge2Pd.

Geometry as CIF:
```
data_Zn2Ge2Pd
_symmetry_space_group_name_H-M 'P 1'
_symmetry_Int_Tables_number 1
_cell_length_a 6.5382
_cell_length_b 6.5382
_cell_length_c 4.0483
_cell_angle_alpha 90.00
_cell_angle_beta 90.00
_cell_angle_gamma 90.00
loop_
_symmetry_equiv_pos_as_xyz
'x,y,z'
loop_
_atom_site_label
_atom_site_type_symbol
_atom_site_fract_x
_atom_site_fract_y
_atom_site_fract_z
_atom_site_occupancy
Zn1 Zn 0.1767 0.3233 0.0000 1
Zn2 Zn 0.3233 0.8233 0.0000 1
Zn3 Zn 0.6767 0.1767 0.0000 1
Zn4 Zn 0.8233 0.6767 0.0000 1
Ge1 Ge 0.1393 0.6393 0.5000 1
Ge2 Ge 0.3607 0.1393 0.5000 1
Ge3 Ge 0.6393 0.8607 0.5000 1
Ge4 Ge 0.8607 0.3607 0.5000 1
Pd1 Pd 0.0000 0.0000 0.5000 1
Pd2 Pd 0.5000 0.5000 0.5000 1
```

Summary:
magnetic moment = 0.000 μB/f.u.
space-group type = P4/mbm

## b
DFT (PBE-GGA) results for a relaxed structure of Zn2Ge2Pd.

Geometry as CIF:
```
data_Zn2Ge2Pd
_symmetry_space_group_name_H-M 'P 1'
_symmetry_Int_Tables_number 1
_cell_length_a 7.6117
_cell_length_b 7.6117
_cell_length_c 7.6117
_cell_angle_alpha 153.30
_cell_angle_beta 153.30
_cell_angle_gamma 38.12
loop_
_symmetry_equiv_pos_as_xyz
'x,y,z'
loop_
_atom_site_label
_atom_site_type_symbol
_atom_site_fract_x
_atom_site_fract_y
_atom_site_fract_z
_atom_site_occupancy
Zn1 Zn 0.2500 0.7500 0.5000 1
Zn2 Zn 0.7500 0.2500 0.5000 1
Ge1 Ge 0.0940 0.0940 0.0000 1
Ge2 Ge 0.9060 0.9060 0.0000 1
Pd1 Pd 0.5000 0.5000 0.0000 1
```

Summary:
magnetic moment = 0.000 μB/f.u.
space-group type = I4/mmm

Top of the stability list: a, leading by 0.154 eV/atom.

## a
DFT (PBE-GGA) results for a relaxed structure of ZnGe3Pd.

Geometry as CIF:
```
data_ZnGe3Pd
_symmetry_space_group_name_H-M 'P 1'
_symmetry_Int_Tables_number 1
_cell_length_a 4.7535
_cell_length_b 4.7535
_cell_length_c 4.7535
_cell_angle_alpha 90.00
_cell_angle_beta 90.00
_cell_angle_gamma 90.00
loop_
_symmetry_equiv_pos_as_xyz
'x,y,z'
loop_
_atom_site_label
_atom_site_type_symbol
_atom_site_fract_x
_atom_site_fract_y
_atom_site_fract_z
_atom_site_occupancy
Zn1 Zn 0.0000 0.0000 0.0000 1
Ge1 Ge 0.0000 0.0000 0.5000 1
Ge2 Ge 0.0000 0.5000 0.0000 1
Ge3 Ge 0.5000 0.0000 0.0000 1
Pd1 Pd 0.5000 0.5000 0.5000 1
```

Summary:
magnetic moment = 0.000 μB/f.u.
space-group type = Pm-3m

## b
DFT (PBE-GGA) results for a relaxed structure of ZnGe3Pd.

Geometry as CIF:
```
data_ZnGe3Pd
_symmetry_space_group_name_H-M 'P 1'
_symmetry_Int_Tables_number 1
_cell_length_a 4.8677
_cell_length_b 4.8677
_cell_length_c 4.8677
_cell_angle_alpha 90.00
_cell_angle_beta 90.00
_cell_angle_gamma 90.00
loop_
_symmetry_equiv_pos_as_xyz
'x,y,z'
loop_
_atom_site_label
_atom_site_type_symbol
_atom_site_fract_x
_atom_site_fract_y
_atom_site_fract_z
_atom_site_occupancy
Zn1 Zn 0.0000 0.0000 0.0000 1
Ge1 Ge 0.0000 0.5000 0.5000 1
Ge2 Ge 0.5000 0.0000 0.5000 1
Ge3 Ge 0.5000 0.5000 0.0000 1
Pd1 Pd 0.5000 0.5000 0.5000 1
```

Summary:
magnetic moment = 0.000 μB/f.u.
space-group type = Pm-3m

Top of the stability list: b, leading by 0.275 eV/atom.